[1]
! TaV2Tc | Alexandria via LeMat-Bulk | PBE-GGA | relaxed; values from VASP
! space-group type	Fm-3m (225)
! E above lowest polymorph	48	meV/atom
! formation enthalpy at 0 K	-0.181	eV per atom
! total moment	0.00	μB per cell
! crystal system	cubic
&SYSTEM
  ibrav = 0, nat = 4, ntyp = 3
/
ATOMIC_SPECIES
Tc 98.00 Tc.upf
V 50.94 V.upf
Ta 180.95 Ta.upf
CELL_PARAMETERS angstrom
4.370 0.000 0.000
2.185 3.785 0.000
2.185 1.262 3.568
ATOMIC_POSITIONS angstrom
Tc 4.370 2.523 1.784
V 6.555 3.785 2.676
Ta 0.000 0.000 0.000
V 2.185 1.262 0.892

---

[2]
! LaCeScAl | Alexandria via LeMat-Bulk | PBE-GGA | relaxed; values from VASP
! space-group type	F-43m (216)
! formation enthalpy at 0 K	-0.037	eV per atom
! total moment	1.60	μB per cell
! crystal system	cubic
&SYSTEM
  ibrav = 0, nat = 4, ntyp = 4
/
ATOMIC_SPECIES
La 138.91 La.upf
Sc 44.96 Sc.upf
Ce 140.12 Ce.upf
Al 26.98 Al.upf
CELL_PARAMETERS angstrom
-0.080 -5.353 0.311
3.418 -2.908 -2.937
4.035 -2.608 2.382
ATOMIC_POSITIONS angstrom
La 0.000 0.000 0.000
Sc 1.843 -2.717 -0.061
Ce 3.686 -5.435 -0.122
Al 5.530 -8.152 -0.183

---

[3]
! Ta2ZnSi2 | Alexandria via LeMat-Bulk | PBE-GGA | relaxed; values from VASP
! space-group type	P4/mbm (127)
! E above lowest polymorph	0	meV/atom
! total moment	0.00	μB per cell
! crystal system	tetragonal
&SYSTEM
  ibrav = 0, nat = 10, ntyp = 3
/
ATOMIC_SPECIES
Si 28.09 Si.upf
Ta 180.95 Ta.upf
Zn 65.41 Zn.upf
CELL_PARAMETERS angstrom
-0.740 6.272 1.951
-4.732 0.853 -4.536
-2.427 -1.015 2.342
ATOMIC_POSITIONS angstrom
Si -4.393 3.066 -3.225
Ta -5.649 4.387 -1.306
Ta -2.250 1.724 1.063
Ta -4.494 1.109 -1.529
Si -1.849 1.129 -1.427
Ta -3.406 5.001 1.286
Si -3.623 5.997 -1.157
Zn 0.000 0.000 0.000
Zn -2.736 3.563 -1.292
Si -1.079 4.059 0.641

---

[4]
! BeSbO3 | Alexandria via LeMat-Bulk | PBE-GGA | relaxed; values from VASP
! raw total energy	-5.004	eV per atom
! space-group type	Pm-3m (221)
! total moment	0.00	μB per cell
! crystal system	cubic
&SYSTEM
  ibrav = 0, nat = 5, ntyp = 3
/
ATOMIC_SPECIES
O 16.00 O.upf
Sb 121.76 Sb.upf
Be 9.01 Be.upf
CELL_PARAMETERS angstrom
3.935 0.000 0.000
0.000 3.935 0.000
0.000 0.000 3.935
ATOMIC_POSITIONS angstrom
O 0.000 1.967 0.000
Sb 0.000 0.000 0.000
Be 1.967 1.967 1.967
O 0.000 0.000 1.967
O 1.967 0.000 0.000

---

[5]
! TaCuAg2 | Alexandria via LeMat-Bulk | PBE-GGA | relaxed; values from VASP
! space-group type	P4/mmm (123)
! E above lowest polymorph	87	meV/atom
! formation enthalpy at 0 K	0.253	eV per atom
! total moment	0.00	μB per cell
! crystal system	tetragonal
&SYSTEM
  ibrav = 0, nat = 4, ntyp = 3
/
ATOMIC_SPECIES
Ta 180.95 Ta.upf
Cu 63.55 Cu.upf
Ag 107.87 Ag.upf
CELL_PARAMETERS angstrom
-0.794 2.388 1.273
-2.617 -1.014 0.269
2.003 -3.230 7.309
ATOMIC_POSITIONS angstrom
Ta -0.203 -1.736 6.253
Cu -1.205 -0.121 2.598
Ag 0.962 -1.551 3.511
Ag 0.039 -0.064 0.144

---

[6]
! CaMg10Hg3 | Alexandria via LeMat-Bulk | PBE-GGA | relaxed; values from VASP
! space-group type	Fm-3m (225)
! formation enthalpy at 0 K	-0.065	eV per atom
! total moment	0.00	μB per cell
! crystal system	cubic
&SYSTEM
  ibrav = 0, nat = 28, ntyp = 3
/
ATOMIC_SPECIES
Mg 24.30 Mg.upf
Hg 200.59 Hg.upf
Ca 40.08 Ca.upf
CELL_PARAMETERS angstrom
-3.177 -7.744 5.581
-5.497 -7.305 -4.198
3.976 -9.141 -1.353
ATOMIC_POSITIONS angstrom
Mg -3.980 -7.592 2.194
Mg -0.699 -8.228 3.179
Hg -0.886 -14.321 1.972
Mg -4.693 -7.457 -0.811
Hg 0.590 -10.723 -0.621
Hg -5.288 -13.467 0.651
Mg -4.713 -10.675 0.639
Mg -2.077 -5.062 3.648
Hg -3.812 -9.870 -1.943
Mg -2.888 -14.871 0.018
Mg -2.216 -7.941 -3.213
Mg -3.268 -12.874 2.573
Mg -1.430 -11.317 -2.543
Mg 2.599 -5.975 -0.885
Mg 0.015 -13.515 -0.610
Hg -1.964 -14.117 -2.571
Mg -0.365 -11.518 1.945
Mg -1.904 -2.530 -1.454
Mg 1.499 -8.657 1.048
Mg -1.100 -2.682 1.933
Mg -3.593 -4.775 -2.744
Ca -1.174 -6.048 0.007
Mg 1.377 -3.166 -0.469
Mg -4.333 -12.672 -1.915
Mg 0.695 -8.505 -2.339
Hg -2.734 -10.073 2.601
Mg -1.810 -9.319 0.011
Ca -3.523 -18.143 0.022